(1)
# AcNdInAg PBE relaxed
data_AcNdInAg
_space_group_name_H-M_alt 'P 4 m m'
_space_group_IT_number 99
_space_group_name_Hall 'P 4 -2'
_cell_length_a 3.859
_cell_length_b 3.859
_cell_length_c 8.124
_cell_angle_alpha 90.00
_cell_angle_beta 90.00
_cell_angle_gamma 90.00
loop_
_atom_site_label
_atom_site_fract_x
_atom_site_fract_y
_atom_site_fract_z
Ac1 0.000 0.000 0.000
Nd1 0.000 0.000 0.519
In1 0.500 0.500 0.278
Ag1 0.500 0.500 0.733
# E_form ... -0.349 eV/atom
# VASP energy ... -3.9658 eV/atom
# Magnetic moment ... 0.0 μB per cell

=====

(2)
# Y2Ho3ErBi6 PBE relaxed
data_Y2Ho3ErBi6
_space_group_name_H-M_alt 'C 1 2/m 1'
_space_group_IT_number 12
_space_group_name_Hall '-C 2y'
_cell_length_a 19.463
_cell_length_b 4.465
_cell_length_c 8.933
_cell_angle_alpha 90.00
_cell_angle_beta 103.19
_cell_angle_gamma 90.00
loop_
_atom_site_label
_atom_site_fract_x
_atom_site_fract_y
_atom_site_fract_z
Y1 0.167 0.000 0.333
Ho1 0.000 0.500 0.500
Ho2 0.167 0.000 0.833
Er1 0.000 0.500 0.000
Bi1 0.001 0.000 0.751
Bi2 0.166 0.500 0.082
Bi3 0.166 0.500 0.584
# E_form ... -0.853 eV/atom
# VASP energy ... -5.3955 eV/atom
# Magnetic moment ... 0.0 μB per cell

=====

(3)
# Mg3FeAg PBE relaxed
data_Mg3FeAg
_space_group_name_H-M_alt 'P m -3 m'
_space_group_IT_number 221
_space_group_name_Hall '-P 4 2 3'
_cell_length_a 4.787
_cell_length_b 4.787
_cell_length_c 4.787
_cell_angle_alpha 90.00
_cell_angle_beta 90.00
_cell_angle_gamma 90.00
loop_
_atom_site_label
_atom_site_fract_x
_atom_site_fract_y
_atom_site_fract_z
Mg1 0.000 0.000 0.500
Fe1 0.000 0.000 0.000
Ag1 0.500 0.500 0.500
# E_form ... 0.651 eV/atom
# VASP energy ... -2.5685 eV/atom
# Magnetic moment ... 0.0 μB per cell

=====

(4)
# LaNpGa2 PBE relaxed
data_LaNpGa2
_space_group_name_H-M_alt 'R -3 m'
_space_group_IT_number 166
_space_group_name_Hall '-R 3 2"'
_cell_length_a 3.1264
_cell_length_b 3.1264
_cell_length_c 32.1437
_cell_angle_alpha 90.00
_cell_angle_beta 90.00
_cell_angle_gamma 120.00
loop_
_atom_site_label
_atom_site_fract_x
_atom_site_fract_y
_atom_site_fract_z
La1 0.0000 0.0000 0.0000
Np1 0.0000 0.0000 0.5000
Ga1 0.0000 0.0000 0.2471
# E_form ... 0.040 eV/atom
# VASP energy ... -5.9406 eV/atom
# Magnetic moment ... 10.7 μB per cell

=====

(5)
# LaVMo2 PBE relaxed
data_LaVMo2
_space_group_name_H-M_alt 'C 1 m 1'
_space_group_IT_number 8
_space_group_name_Hall 'C -2y'
_cell_length_a 14.264
_cell_length_b 4.277
_cell_length_c 5.487
_cell_angle_alpha 90.00
_cell_angle_beta 112.20
_cell_angle_gamma 90.00
loop_
_atom_site_label
_atom_site_fract_x
_atom_site_fract_y
_atom_site_fract_z
La1 0.000 0.000 0.000
La2 0.158 0.500 0.153
V1 0.135 0.000 0.631
V2 0.328 0.000 0.076
Mo1 0.027 0.500 0.522
Mo2 0.267 0.500 0.768
Mo3 0.327 0.000 0.576
Mo4 0.391 0.500 0.384
# E_form ... 0.332 eV/atom
# VASP energy ... -8.5946 eV/atom
# Magnetic moment ... 0.0 μB per cell

=====

(6)
# CaAl4O7 PBE relaxed
data_CaAl4O7
_space_group_name_H-M_alt 'P m n 21'
_space_group_IT_number 31
_space_group_name_Hall 'P 2ac -2'
_cell_length_a 12.856
_cell_length_b 5.204
_cell_length_c 4.990
_cell_angle_alpha 90.00
_cell_angle_beta 90.00
_cell_angle_gamma 90.00
loop_
_atom_site_label
_atom_site_fract_x
_atom_site_fract_y
_atom_site_fract_z
Ca1 0.000 0.160 0.000
Al1 0.120 0.672 0.339
Al2 0.249 0.173 0.324
O1 0.000 0.790 0.224
O2 0.133 0.344 0.253
O3 0.136 0.728 0.680
O4 0.221 0.862 0.175
# E_form (uncorrected) ... -2.960 eV per atom
# VASP energy ... -7.2661 eV/atom
# Magnetic moment ... 0.0 μB per cell

=====

(7)
# SrTi2AsAu PBE relaxed
data_SrTi2AsAu
_space_group_name_H-M_alt 'P 4/m m m'
_space_group_IT_number 123
_space_group_name_Hall '-P 4 2'
_cell_length_a 5.099
_cell_length_b 5.099
_cell_length_c 5.231
_cell_angle_alpha 90.00
_cell_angle_beta 90.00
_cell_angle_gamma 90.00
loop_
_atom_site_label
_atom_site_fract_x
_atom_site_fract_y
_atom_site_fract_z
Sr1 0.000 0.000 0.000
Ti1 0.000 0.500 0.000
As1 0.500 0.500 0.500
Au1 0.000 0.000 0.500
# E_form ... 1.773 eV/atom
# VASP energy ... -3.3065 eV/atom
# Magnetic moment ... 3.2 μB per cell

=====

(8)
# Pm2ErZrAs4 PBE relaxed
data_Pm2ErZrAs4
_space_group_name_H-M_alt 'P 1 2/m 1'
_space_group_IT_number 10
_space_group_name_Hall '-P 2y'
_cell_length_a 7.089
_cell_length_b 4.093
_cell_length_c 7.101
_cell_angle_alpha 90.00
_cell_angle_beta 109.30
_cell_angle_gamma 90.00
loop_
_atom_site_label
_atom_site_fract_x
_atom_site_fract_y
_atom_site_fract_z
Pm1 0.000 0.000 0.000
Pm2 0.500 0.500 0.000
Er1 0.000 0.500 0.500
Zr1 0.500 0.000 0.500
As1 0.251 0.000 0.735
As2 0.262 0.500 0.268
# E_form ... -1.422 eV/atom
# VASP energy ... -6.5728 eV/atom
# Magnetic moment ... 0.0 μB per cell

=====

Q: What is the formula in the sixth record?
A: CaAl4O7